VASP calculation (PBE-GGA) on a relaxed La3Sn4Ir2Pd2 crystal.

Cell and atoms, written as POSCAR:
```
La3Sn4Ir2Pd2
1.0
-2.130 2.322 13.544
2.130 -2.322 13.544
2.130 2.322 -13.544
La Sn Ir Pd
3 4 2 2
direct
0.000 0.000 0.000
0.347 0.847 0.500
0.653 0.153 0.500
0.196 0.696 0.500
0.447 0.447 0.000
0.553 0.553 0.000
0.804 0.304 0.500
0.253 0.253 0.000
0.747 0.747 0.000
0.099 0.599 0.500
0.901 0.401 0.500
```

Output
**Calculated volume**: 267.9 Å³/cell
**Raw total energy**: -6.0983 eV per atom
**Spin magnetization**: 0.015 μB per cell

=====

VASP calculation (PBE-GGA) on a relaxed LuScCdC crystal.

Cell and atoms, written as POSCAR:
```
LuScCdC
1.0
3.402 0.000 0.000
-1.701 2.946 0.000
0.000 0.000 15.861
Lu Sc Cd C
2 2 2 2
direct
0.333 0.667 0.084
0.667 0.333 0.916
0.333 0.667 0.424
0.667 0.333 0.576
0.333 0.667 0.742
0.667 0.333 0.258
0.000 0.000 0.000
0.000 0.000 0.500
```

Output
**Calculated volume**: 159.0 Å³/cell
**Raw total energy**: -5.6315 eV per atom
**Spin magnetization**: 0.060 μB per cell

=====

VASP calculation (PBE-GGA) on a relaxed RbSmNiTe3 crystal.

Cell and atoms, written as POSCAR:
```
RbSmNiTe3
1.0
11.063 0.000 0.000
0.000 4.409 0.000
0.000 0.000 16.115
Rb Sm Ni Te
4 4 4 12
direct
0.040 0.250 0.165
0.460 0.750 0.665
0.540 0.250 0.335
0.960 0.750 0.835
0.154 0.750 0.442
0.346 0.250 0.942
0.654 0.750 0.058
0.846 0.250 0.558
0.152 0.250 0.620
0.348 0.750 0.120
0.652 0.250 0.880
0.848 0.750 0.380
0.036 0.750 0.619
0.181 0.750 0.010
0.228 0.250 0.768
0.272 0.750 0.268
0.319 0.250 0.510
0.464 0.250 0.119
0.536 0.750 0.881
0.681 0.750 0.490
0.728 0.250 0.732
0.772 0.750 0.232
0.819 0.250 0.990
0.964 0.250 0.381
```

Output
**Calculated volume**: 786.1 Å³/cell
**Raw total energy**: -4.2747 eV per atom
**Spin magnetization**: 3.185 μB per cell

=====

VASP calculation (PBE-GGA) on a relaxed Sc2AlCu crystal.

Cell and atoms, written as POSCAR:
```
Sc2AlCu
1.0
6.634 0.000 0.000
0.000 6.634 0.000
0.000 0.000 6.634
Sc Al Cu
8 4 4
direct
0.000 0.000 0.000
0.000 0.500 0.500
0.250 0.250 0.250
0.250 0.750 0.750
0.500 0.000 0.500
0.500 0.500 0.000
0.750 0.250 0.750
0.750 0.750 0.250
0.250 0.250 0.750
0.250 0.750 0.250
0.750 0.250 0.250
0.750 0.750 0.750
0.000 0.000 0.500
0.000 0.500 0.000
0.500 0.000 0.000
0.500 0.500 0.500
```

Output
**Calculated volume**: 292.0 Å³/cell
**Raw total energy**: -5.0620 eV per atom
**Spin magnetization**: 5.651 μB per cell

=====

VASP calculation (PBE-GGA) on a relaxed Li2Al2Zn2NiIr crystal.

Cell and atoms, written as POSCAR:
```
Li2Al2Zn2NiIr
1.0
4.218 0.000 0.000
0.000 4.218 0.000
0.000 0.000 5.928
Li Al Zn Ni Ir
2 2 2 1 1
direct
0.000 0.000 0.000
0.500 0.500 0.500
0.000 0.500 0.249
0.500 0.000 0.751
0.000 0.500 0.765
0.500 0.000 0.235
0.500 0.500 0.000
0.000 0.000 0.500
```

Output
**Calculated volume**: 105.4 Å³/cell
**Raw total energy**: -3.9808 eV per atom
**Spin magnetization**: 0.000 μB per cell

=====

VASP calculation (PBE-GGA) on a relaxed PuScHg6 crystal.

Cell and atoms, written as POSCAR:
```
PuScHg6
1.0
5.064 0.000 0.000
0.000 6.619 0.000
0.000 0.000 11.461
Pu Sc Hg
2 2 12
direct
0.000 0.000 0.000
0.000 0.500 0.500
0.500 0.000 0.670
0.500 0.500 0.170
0.000 0.000 0.507
0.000 0.244 0.749
0.000 0.256 0.249
0.000 0.500 0.007
0.000 0.744 0.249
0.000 0.756 0.749
0.500 0.000 0.169
0.500 0.245 0.417
0.500 0.255 0.917
0.500 0.500 0.669
0.500 0.745 0.917
0.500 0.755 0.417
```

Output
**Calculated volume**: 384.2 Å³/cell
**Raw total energy**: -2.6536 eV per atom
**Spin magnetization**: 0.452 μB per cell

=====

VASP calculation (PBE-GGA) on a relaxed TaBeCuPd crystal.

Cell and atoms, written as POSCAR:
```
TaBeCuPd
1.0
6.031 0.000 0.000
0.000 6.031 0.000
0.000 0.000 6.031
Ta Be Cu Pd
4 4 4 4
direct
0.000 0.000 0.000
0.000 0.500 0.500
0.500 0.000 0.500
0.500 0.500 0.000
0.250 0.250 0.250
0.250 0.750 0.750
0.750 0.250 0.750
0.750 0.750 0.250
0.000 0.000 0.500
0.000 0.500 0.000
0.500 0.000 0.000
0.500 0.500 0.500
0.250 0.250 0.750
0.250 0.750 0.250
0.750 0.250 0.250
0.750 0.750 0.750
```

Output
**Calculated volume**: 219.3 Å³/cell
**Raw total energy**: -6.1319 eV per atom
**Spin magnetization**: 0.001 μB per cell
**Energy above the lowest structure with this stoichiometry**: 49 meV per atom

=====

VASP calculation (PBE-GGA) on a relaxed PuGaSi crystal.

Cell and atoms, written as POSCAR:
```
PuGaSi
1.0
6.343 0.000 0.000
0.000 6.343 0.000
0.000 0.000 6.343
Pu Ga Si
4 4 4
direct
0.000 0.000 0.000
0.000 0.500 0.500
0.500 0.000 0.500
0.500 0.500 0.000
0.000 0.000 0.500
0.000 0.500 0.000
0.500 0.000 0.000
0.500 0.500 0.500
0.250 0.250 0.750
0.250 0.750 0.250
0.750 0.250 0.250
0.750 0.750 0.750
```

Output
**Calculated volume**: 255.2 Å³/cell
**Raw total energy**: -7.7282 eV per atom
**Spin magnetization**: 23.185 μB per cell